[1]
A plane-wave DFT calculation with PBE-GGA was carried out for a relaxed Mo2OsPb crystal.

## Properties
The energy relative to the elements is 0.603 eV per atom. Its total energy is -8.55 eV per atom.

a b c (Å): 2.9479 2.9479 28.2108
angles (deg): 90.00 90.00 120.00
Space group R-3m (No. 166, hexagonal axes)
Unique sites:
Mo  0.0000  0.0000  0.2415
Os  0.0000  0.0000  0.5000
Pb  0.0000  0.0000  0.0000

[2]
A plane-wave DFT calculation with PBE-GGA was carried out for a relaxed MoOs2Pb crystal.

## Properties
The energy relative to the elements is 0.929 eV per atom. Its total energy is -8.32 eV per atom.

a b c (Å): 4.685 4.685 3.081
angles (deg): 90.00 90.00 90.00
Space group P4/mmm (No. 123)
Unique sites:
Mo  0.000  0.000  0.000
Os  0.000  0.500  0.500
Pb  0.500  0.500  0.000

[3]
A plane-wave DFT calculation with PBE-GGA was carried out for a relaxed Mo2OsPb crystal.

## Properties
The energy relative to the elements is 0.527 eV per atom. Its total energy is -8.62 eV per atom.

a b c (Å): 2.926 4.049 6.034
angles (deg): 90.00 90.06 90.00
Space group P2/m (No. 10)
Unique sites:
Mo  0.003  0.000  0.298
Os  0.500  0.500  0.500
Pb  0.500  0.500  0.000

[4]
A plane-wave DFT calculation with PBE-GGA was carried out for a relaxed MoOsPb3 crystal.

## Properties
The energy relative to the elements is 1.611 eV per atom. Its total energy is -5.03 eV per atom.

a b c (Å): 5.338 5.338 5.338
angles (deg): 90.00 90.00 90.00
Space group Pm-3m (No. 221)
Unique sites:
Mo  0.000  0.000  0.000
Os  0.500  0.500  0.500
Pb  0.000  0.000  0.500

[5]
A plane-wave DFT calculation with PBE-GGA was carried out for a relaxed MoOs2Pb crystal.

## Properties
The energy relative to the elements is 0.635 eV per atom. Its total energy is -8.62 eV per atom.

a b c (Å): 2.9233 2.9233 28.2705
angles (deg): 90.00 90.00 120.00
Space group R-3m (No. 166, hexagonal axes)
Unique sites:
Mo  0.0000  0.0000  0.0000
Os  0.0000  0.0000  0.2594
Pb  0.0000  0.0000  0.5000

[6]
A plane-wave DFT calculation with PBE-GGA was carried out for a relaxed MoOsPb2 crystal.

## Properties
The energy relative to the elements is 1.078 eV per atom. Its total energy is -6.29 eV per atom.

a b c (Å): 6.381 9.113 3.129
angles (deg): 90.00 117.26 90.00
Space group C2/m (No. 12)
Unique sites:
Mo  0.000  0.000  0.000
Os  0.000  0.500  0.000
Pb  0.250  0.250  0.500

[7]
A plane-wave DFT calculation with PBE-GGA was carried out for a relaxed MoOs2Pb crystal.

## Properties
The energy relative to the elements is 0.704 eV per atom. Its total energy is -8.55 eV per atom.

a b c (Å): 2.9091 2.9091 28.2438
angles (deg): 90.00 90.00 120.00
Space group R3m (No. 160, hexagonal axes)
Unique sites:
Mo  0.0000  0.0000  0.0000
Os  0.0000  0.0000  0.2567
Os  0.0000  0.0000  0.5168
Pb  0.0000  0.0000  0.7585

[8]
A plane-wave DFT calculation with PBE-GGA was carried out for a relaxed MoOsPb2 crystal.

## Properties
The energy relative to the elements is 1.045 eV per atom. Its total energy is -6.32 eV per atom.

a b c (Å): 3.2202 3.2202 26.4733
angles (deg): 90.00 90.00 120.00
Space group R-3m (No. 166, hexagonal axes)
Unique sites:
Mo  0.0000  0.0000  0.0000
Os  0.0000  0.0000  0.5000
Pb  0.0000  0.0000  0.2477